Entry 1:
VASP calculation (GGA-PBE) on an optimized crystal structure of RbBaNa3.

Values from the calculation:
E above lowest polymorph   0.0 kJ/mol of atoms
Raw total energy   -1.313 eV/atom
Formation enthalpy at 0 K   57 meV/atom

a = 10.874 Å, b = 10.874 Å, c = 10.874 Å
α = 42.20°, β = 42.20°, γ = 42.20°
Sites, in units of the cell vectors:
1 Rb 0.074 0.074 0.074
2 Rb 0.926 0.926 0.926
3 Ba 0.336 0.336 0.336
4 Ba 0.664 0.664 0.664
5 Na 0.107 0.626 0.626
6 Na 0.374 0.374 0.893
7 Na 0.374 0.893 0.374
8 Na 0.626 0.107 0.626
9 Na 0.626 0.626 0.107
10 Na 0.893 0.374 0.374


Entry 2:
VASP calculation (GGA-PBE) on an optimized crystal structure of RbBa2Na9.

Values from the calculation:
Raw total energy   -1.378 eV/atom
Formation enthalpy at 0 K   12 meV/atom

a = 12.623 Å, b = 12.623 Å, c = 12.623 Å
α = 33.73°, β = 33.73°, γ = 33.73°
Sites, in units of the cell vectors:
1 Rb 0.000 0.000 0.000
2 Ba 0.144 0.144 0.144
3 Ba 0.856 0.856 0.856
4 Na 0.080 0.588 0.588
5 Na 0.334 0.334 0.334
6 Na 0.412 0.412 0.920
7 Na 0.412 0.920 0.412
8 Na 0.500 0.500 0.500
9 Na 0.588 0.080 0.588
10 Na 0.588 0.588 0.080
11 Na 0.666 0.666 0.666
12 Na 0.920 0.412 0.412


Entry 3:
VASP calculation (GGA-PBE) on an optimized crystal structure of RbBa2Na.

Values from the calculation:
Raw total energy   -1.452 eV/atom
Formation enthalpy at 0 K   81 meV/atom

a = 4.575 Å, b = 4.575 Å, c = 12.144 Å
α = 90.00°, β = 90.00°, γ = 90.00°
Sites, in units of the cell vectors:
1 Rb 0.000 0.000 0.000
2 Ba 0.500 0.500 0.303
3 Ba 0.500 0.500 0.697
4 Na 0.000 0.000 0.500